Entry 1:
CaBiAs2: relaxed, GGA-PBE.

abc: 4.9132 4.9132 4.0456
angles: 90.00 90.00 90.00
Space group P4/mmm (No. 123)
Inequivalent atoms, fractional coordinates:
Ca: 0.0000 0.0000 0.0000 [1 per cell]
Bi: 0.5000 0.5000 0.0000 [1 per cell]
As: 0.0000 0.5000 0.5000 [2 per cell]

As for the magnetic moment: 0.00 μB per cell. The total energy is -16.682 eV/cell. The value obtained for the calculated formation energy is -0.3750 eV/atom.

Entry 2:
Na2Sm2USe6: relaxed, GGA-PBE.

abc: 7.3190 12.5767 7.4405
angles: 90.00 109.18 90.00
Space group C2/m (No. 12)
Inequivalent atoms, fractional coordinates:
Na: 0.0000 0.1697 0.0000 [4 per cell]
Sm: 0.0000 0.3339 0.5000 [4 per cell]
U: 0.0000 0.0000 0.5000 [2 per cell]
Se: 0.2378 0.1632 0.7278 [8 per cell]
Se: 0.2446 0.0000 0.2733 [4 per cell]

As for the magnetic moment: 4.00 μB per cell. The total energy is -122.067 eV/cell.

Entry 3:
Ac2TaPb: relaxed, GGA-PBE.

abc: 3.4889 3.4889 36.5485
angles: 90.00 90.00 120.00
Space group R-3m (No. 166, hexagonal axes)
Inequivalent atoms, fractional coordinates:
Ac: 0.0000 0.0000 0.0843 [6 per cell]
Ta: 0.0000 0.0000 0.0000 [3 per cell]
Pb: 0.0000 0.0000 0.5000 [3 per cell]

As for the magnetic moment: 1.38 μB per cell. The total energy is -62.216 eV/cell. The value obtained for the calculated formation energy is 0.7598 eV/atom.

Entry 4:
Y12Ho6Cd: relaxed, GGA-PBE.

abc: 11.8464 11.8464 15.0081
angles: 90.00 90.00 120.00
Space group R-3 (No. 148, hexagonal axes)
Inequivalent atoms, fractional coordinates:
Y: 0.0101 0.1798 0.3147 [18 per cell]
Y: 0.0478 0.8499 0.9146 [18 per cell]
Ho: 0.0234 0.4300 0.1910 [18 per cell]
Cd: 0.0000 0.0000 0.5000 [3 per cell]

As for the magnetic moment: 0.00 μB per cell. The total energy is -312.190 eV/cell. The value obtained for the calculated formation energy is 0.0993 eV/atom.

Entry 5:
KSrAl2: relaxed, GGA-PBE.

abc: 5.5182 5.5182 7.6342
angles: 90.00 90.00 90.00
Space group I-4m2 (No. 119)
Inequivalent atoms, fractional coordinates:
K: 0.0000 0.0000 0.0000 [2 per cell]
Sr: 0.0000 0.5000 0.7500 [2 per cell]
Al: 0.0000 0.0000 0.5000 [2 per cell]
Al: 0.0000 0.5000 0.2500 [2 per cell]

As for the magnetic moment: 0.00 μB per cell. The total energy is -18.498 eV/cell. For the energy relative to the lowest polymorph listed for this composition, the calculation gives 173 meV/atom. The value obtained for the calculated formation energy is 0.2538 eV/atom.

Entry 6:
BiRuO4: relaxed, GGA-PBE.

abc: 7.6231 5.4442 7.5619
angles: 90.00 100.51 90.00
Space group P2_1/c (No. 14)
Inequivalent atoms, fractional coordinates:
Bi: 0.1589 0.2167 0.3914 [4 per cell]
Ru: 0.3410 0.7341 0.2027 [4 per cell]
O: 0.1146 0.5273 0.1768 [4 per cell]
O: 0.1825 0.0050 0.1301 [4 per cell]
O: 0.3350 0.6434 0.9484 [4 per cell]
O: 0.4401 0.0896 0.8003 [4 per cell]

As for the magnetic moment: 0.00 μB per cell. The total energy is -156.876 eV/cell.

Entry 7:
CaY3Ir8: relaxed, GGA-PBE.

abc: 5.3656 5.3656 26.2984
angles: 90.00 90.00 120.00
Space group R3m (No. 160, hexagonal axes)
Inequivalent atoms, fractional coordinates:
Ca: 0.0000 0.0000 0.0000 [3 per cell]
Y: 0.0000 0.0000 0.1237 [3 per cell]
Y: 0.0000 0.0000 0.5008 [3 per cell]
Y: 0.0000 0.0000 0.6271 [3 per cell]
Ir: 0.0000 0.0000 0.3130 [3 per cell]
Ir: 0.0000 0.0000 0.8129 [3 per cell]
Ir: 0.0011 0.5005 0.0634 [9 per cell]
Ir: 0.1671 0.3342 0.8958 [9 per cell]

As for the magnetic moment: 0.00 μB per cell. The total energy is -302.783 eV/cell. The value obtained for the calculated formation energy is -0.7205 eV/atom.

Entry 8:
CsBaCa2Cd: relaxed, GGA-PBE.

abc: 6.3389 6.3389 6.7267
angles: 90.00 90.00 90.00
Space group P4/mmm (No. 123)
Inequivalent atoms, fractional coordinates:
Cs: 0.0000 0.0000 0.0000 [1 per cell]
Ba: 0.5000 0.5000 0.0000 [1 per cell]
Ca: 0.0000 0.5000 0.5000 [2 per cell]
Cd: 0.5000 0.5000 0.5000 [1 per cell]

As for the magnetic moment: 0.00 μB per cell. The total energy is -7.479 eV/cell. The value obtained for the calculated formation energy is 0.0431 eV/atom.

Listing density for the structures above in their given order: 6.8; 5.4; 10.9; 5.9; 2.6; 8.1; 14.0; 2.8 g/cm³.